This record from the Alexandria database describes a geometry-optimized Li4ZnPb structure. The functional is GGA-PBEsol.

Output
Space-group type   F-43m (216)

The structure in POSCAR format:
```
Li4ZnPb
1.0
-1.820 0.795 4.905
-5.200 0.499 0.844
-2.657 -3.839 2.491
Zn Li Pb
1 4 1
Cartesian
0.000 0.000 0.000
-6.228 -0.705 3.513
-3.630 -0.954 3.091
-4.539 -0.557 5.541
-4.957 -2.872 4.336
-7.258 -1.908 6.180
```

***

This record from the Alexandria database describes a geometry-optimized LiZr4Pb structure. The functional is GGA-PBEsol.

Output
Space-group type   F-43m (216)

The structure in POSCAR format:
```
LiZr4Pb
1.0
-0.656 0.867 5.654
-5.252 0.884 2.187
-2.477 -4.044 3.264
Zr Li Pb
4 1 1
Cartesian
-3.147 -0.861 4.167
-3.474 -0.428 6.988
-4.382 -2.878 5.796
-5.767 -0.420 5.258
-6.289 -1.720 8.328
0.000 0.000 0.000
```

***

This record from the Alexandria database describes a geometry-optimized Li3Pd structure. The functional is GGA-PBEsol.

Output
Space-group type   I4/mmm (139)

The structure in POSCAR format:
```
Li3Pd
1.0
4.199 0.000 0.000
0.000 4.199 0.000
-2.099 -2.099 3.205
Li Pd
3 1
Cartesian
2.099 0.000 1.602
2.099 2.099 0.000
0.000 2.099 1.602
0.000 0.000 0.000
```

***

This record from the Alexandria database describes a geometry-optimized Li15Pd4 structure. The functional is GGA-PBEsol.

Output
Space-group type   I-43d (220)

The structure in POSCAR format:
```
Li15Pd4
1.0
-8.167 -2.101 -3.406
6.201 -0.203 -6.649
2.247 -6.031 6.426
Li Pd
30 8
Cartesian
2.604 -6.100 2.601
-1.534 -3.469 -7.558
0.502 -2.928 -3.472
-4.912 -2.836 -2.435
3.640 -2.131 -3.393
-0.052 -6.253 2.746
-2.160 -5.600 -2.476
-0.283 -6.979 -1.088
-4.669 -5.581 -1.581
-3.525 -2.266 -5.305
0.645 -4.019 -6.128
-4.686 -6.386 1.008
-2.916 -6.383 3.062
2.081 -0.854 -1.650
7.127 -5.217 -1.501
1.108 -5.262 0.561
4.227 -5.217 -0.059
4.789 -4.472 -2.653
2.240 -4.084 -1.816
4.350 -0.642 -5.759
2.419 -7.187 -1.141
-0.681 -1.569 -1.220
-1.770 -4.536 -5.128
-2.217 -2.897 -3.016
1.372 -2.575 0.322
-0.955 -3.447 1.404
1.869 -1.694 -5.461
-2.893 -3.216 -0.410
0.607 -5.584 -3.293
-2.105 -5.629 0.398
5.147 -5.594 2.528
-3.355 -0.863 -1.399
2.688 -4.251 -4.546
-7.439 -1.913 -3.103
1.148 -3.758 2.889
-0.958 -1.895 -5.351
4.024 -2.579 -0.685
-0.412 -4.149 -1.222
```

***

This record from the Alexandria database describes a geometry-optimized LiPd structure. The functional is GGA-PBEsol.

Output
Space-group type   P-6m2 (187)

The structure in POSCAR format:
```
LiPd
1.0
-0.573 -1.920 -1.862
2.272 -0.195 1.511
-2.095 -2.160 2.873
Li Pd
1 1
Cartesian
0.000 0.000 0.000
-0.673 -2.425 0.699
```

***

This record from the Alexandria database describes a geometry-optimized Li2Pd structure. The functional is GGA-PBEsol.

Output
Space-group type   P6/mmm (191)

The structure in POSCAR format:
```
Li2Pd
1.0
-2.428 -0.313 -3.399
4.100 -0.814 -0.272
-0.470 -2.560 0.572
Li Pd
2 1
Cartesian
1.689 -1.927 -1.029
-0.487 -1.760 -2.071
0.000 0.000 0.000
```

***

This record from the Alexandria database describes a geometry-optimized LiPd structure. The functional is GGA-PBEsol.

Output
Space-group type   Pm-3m (221)

The structure in POSCAR format:
```
LiPd
1.0
-1.129 1.180 2.442
2.153 -1.218 1.584
1.649 2.399 -0.397
Pd Li
1 1
Cartesian
1.337 1.180 1.815
0.000 0.000 0.000
```

***

This record from the Alexandria database describes a geometry-optimized Li3Pd structure. The functional is GGA-PBEsol.

Output
Space-group type   Fm-3m (225)

The structure in POSCAR format:
```
Li3Pd
1.0
-1.391 -3.702 -1.706
1.127 -1.079 -4.014
2.762 -3.237 -0.665
Li Pd
3 1
Cartesian
1.874 -6.014 -4.789
1.249 -4.009 -3.192
0.625 -2.005 -1.596
0.000 0.000 0.000
```

***

ΔE_f, record by record: -0.05 0.30 -0.25 -0.22 -0.40 -0.33 -0.36 -0.25 eV/atom